[1]
This record from Alexandria via LeMat-Bulk describes a relaxed structure of FeTeIN2. The functional is PBE-GGA.

Results
Space group: No. 123
E_form (uncorrected): 1459 meV per atom
Distance to the lowest polymorph of the same formula: 0.161 eV per atom

Cell: 3.951 3.951 5.568 Å, 90.00 90.00 90.00°
Positions (direct):
Fe1 0.000 0.000 0.000
Te1 0.500 0.500 0.500
I1 0.000 0.000 0.500
N1 0.000 0.500 0.000
N2 0.500 0.000 0.000



[2]
This record from Alexandria via LeMat-Bulk describes a relaxed structure of RuSeNO2. The functional is PBE-GGA.

Results
Space group: No. 123
E_form (uncorrected): 1022 meV per atom

Cell: 3.849 3.849 4.011 Å, 90.00 90.00 90.00°
Positions (direct):
Ru1 0.000 0.000 0.000
Se1 0.500 0.500 0.500
N1 0.500 0.500 0.000
O1 0.000 0.500 0.500
O2 0.500 0.000 0.500



[3]
This record from Alexandria via LeMat-Bulk describes a relaxed structure of Tl2ZnRh. The functional is PBE-GGA.

Results
Space group: No. 160
Distance to the lowest polymorph of the same formula: 0.098 eV per atom

Cell: 3.354 3.354 27.043 Å, 90.00 90.00 120.00°
Positions (direct):
Tl1 0.000 0.000 0.000
Tl2 0.000 0.000 0.227
Tl3 0.333 0.667 0.667
Tl4 0.333 0.667 0.893
Tl5 0.667 0.333 0.333
Tl6 0.667 0.333 0.560
Zn1 0.000 0.000 0.469
Zn2 0.333 0.667 0.136
Zn3 0.667 0.333 0.803
Rh1 0.000 0.000 0.742
Rh2 0.333 0.667 0.409
Rh3 0.667 0.333 0.075



[4]
This record from Alexandria via LeMat-Bulk describes a relaxed structure of Ca2Ge2Pt3. The functional is PBE-GGA.

Results
Space group: No. 12
Total DFT energy (no corrections): -5.290 eV/atom

Cell: 10.733 3.948 7.176 Å, 90.00 115.62 90.00°
Positions (direct):
Ca1 0.126 0.000 0.266
Ca2 0.374 0.500 0.734
Ca3 0.626 0.500 0.266
Ca4 0.874 0.000 0.734
Ge1 0.154 0.000 0.732
Ge2 0.346 0.500 0.268
Ge3 0.654 0.500 0.732
Ge4 0.846 0.000 0.268
Pt1 0.000 0.500 0.500
Pt2 0.122 0.500 0.937
Pt3 0.378 0.000 0.063
Pt4 0.500 0.000 0.500
Pt5 0.622 0.000 0.937
Pt6 0.878 0.500 0.063



[5]
This record from Alexandria via LeMat-Bulk describes a relaxed structure of BaPmSb4. The functional is PBE-GGA.

Results
Space group: No. 216
E_form (uncorrected): -383 meV per atom

Cell: 6.437 6.437 6.437 Å, 60.00 60.00 60.00°
Positions (direct):
Ba1 0.000 0.000 0.000
Pm1 0.250 0.250 0.250
Sb1 0.129 0.624 0.624
Sb2 0.624 0.129 0.624
Sb3 0.624 0.624 0.129
Sb4 0.624 0.624 0.624



[6]
This record from Alexandria via LeMat-Bulk describes a relaxed structure of NaCrCo2W. The functional is PBE-GGA.

Results
Space group: No. 123
Total DFT energy (no corrections): -5.439 eV/atom

Cell: 4.400 4.400 5.056 Å, 90.00 90.00 90.00°
Positions (direct):
Na1 0.000 0.000 0.000
Cr1 0.500 0.500 0.000
Co1 0.000 0.500 0.500
Co2 0.500 0.000 0.500
W1 0.000 0.000 0.500



[7]
This record from Alexandria via LeMat-Bulk describes a relaxed structure of BaGeSbPt3. The functional is PBE-GGA.

Results
Space group: No. 63
E_form (uncorrected): -634 meV per atom

Cell: 7.778 7.778 6.447 Å, 90.00 90.00 127.46°
Positions (direct):
Ba1 0.225 0.775 0.750
Ba2 0.775 0.225 0.250
Ge1 0.088 0.912 0.250
Ge2 0.912 0.088 0.750
Sb1 0.444 0.556 0.250
Sb2 0.556 0.444 0.750
Pt1 0.209 0.209 0.000
Pt2 0.209 0.209 0.500
Pt3 0.260 0.740 0.250
Pt4 0.740 0.260 0.750
Pt5 0.791 0.791 0.000
Pt6 0.791 0.791 0.500



[8]
This record from Alexandria via LeMat-Bulk describes a relaxed structure of ZrCoS3. The functional is PBE-GGA.

Results
Space group: No. 221
E_form (uncorrected): -267 meV per atom
Distance to the lowest polymorph of the same formula: 0.000 eV per atom

Cell: 4.368 4.368 4.368 Å, 90.00 90.00 90.00°
Positions (direct):
Zr1 0.000 0.000 0.000
Co1 0.500 0.500 0.500
S1 0.000 0.500 0.500
S2 0.500 0.000 0.500
S3 0.500 0.500 0.000



[9]
This record from Alexandria via LeMat-Bulk describes a relaxed structure of Ce3NdOs2. The functional is PBE-GGA.

Results
Space group: No. 12
Total DFT energy (no corrections): -7.571 eV/atom

Cell: 8.792 8.792 8.559 Å, 118.19 118.19 29.43°
Positions (direct):
Ce1 0.080 0.080 0.416
Ce2 0.287 0.287 0.639
Ce3 0.378 0.378 0.307
Ce4 0.622 0.622 0.693
Ce5 0.713 0.713 0.361
Ce6 0.920 0.920 0.584
Nd1 0.108 0.108 0.022
Nd2 0.892 0.892 0.978
Os1 0.233 0.233 0.890
Os2 0.476 0.476 0.802
Os3 0.524 0.524 0.198
Os4 0.767 0.767 0.110



[10]
This record from Alexandria via LeMat-Bulk describes a relaxed structure of Mn2BeIr. The functional is PBE-GGA.

Results
Space group: No. 71
Total DFT energy (no corrections): -7.939 eV/atom

Cell: 2.780 3.840 8.166 Å, 90.00 90.00 90.00°
Positions (direct):
Mn1 0.000 0.000 0.237
Mn2 0.000 0.000 0.763
Mn3 0.500 0.500 0.263
Mn4 0.500 0.500 0.737
Be1 0.000 0.500 0.500
Be2 0.500 0.000 0.000
Ir1 0.000 0.500 0.000
Ir2 0.500 0.000 0.500



[11]
This record from Alexandria via LeMat-Bulk describes a relaxed structure of AcInBr6. The functional is PBE-GGA.

Results
Space group: No. 12
E_form (uncorrected): -1346 meV per atom

Cell: 7.200 13.228 7.150 Å, 90.00 106.62 90.00°
Positions (direct):
Ac1 0.000 0.000 0.000
Ac2 0.500 0.500 0.000
In1 0.000 0.500 0.500
In2 0.500 0.000 0.500
Br1 0.218 0.353 0.725
Br2 0.218 0.647 0.725
Br3 0.245 0.500 0.265
Br4 0.255 0.000 0.735
Br5 0.282 0.147 0.275
Br6 0.282 0.853 0.275
Br7 0.718 0.147 0.725
Br8 0.718 0.853 0.725
Br9 0.745 0.000 0.265
Br10 0.755 0.500 0.735
Br11 0.782 0.353 0.275
Br12 0.782 0.647 0.275



[12]
This record from Alexandria via LeMat-Bulk describes a relaxed structure of Er2AgSn2. The functional is PBE-GGA.

Results
Space group: No. 12
Total DFT energy (no corrections): -4.549 eV/atom

Cell: 6.079 6.079 10.749 Å, 113.82 113.82 44.27°
Positions (direct):
Er1 0.005 0.005 0.328
Er2 0.179 0.179 0.102
Er3 0.821 0.821 0.898
Er4 0.995 0.995 0.672
Ag1 0.290 0.290 0.664
Ag2 0.710 0.710 0.336
Sn1 0.355 0.355 0.428
Sn2 0.458 0.458 0.113
Sn3 0.542 0.542 0.887
Sn4 0.645 0.645 0.572